[1]
First-principles (GGA-PBE) data for a relaxed Nb2GaCl2 crystal, as listed in Alexandria via LeMat-Bulk. Values from VASP.

Geometry as Quantum ESPRESSO input:
```
&SYSTEM
  ibrav = 0, nat = 5, ntyp = 3
/
ATOMIC_SPECIES
Cl 35.45 Cl.upf
Nb 92.91 Nb.upf
Ga 69.72 Ga.upf
ATOMIC_POSITIONS crystal
Cl 0.250 0.750 0.500
Cl 0.750 0.250 0.500
Nb 0.607 0.607 0.786
Nb 0.393 0.393 0.214
Ga 0.000 0.000 0.000
CELL_PARAMETERS angstrom
3.931 0.000 0.000
0.000 3.931 0.000
1.965 1.965 6.129
```

Properties
ΔE to the lowest computed polymorph	0.0	meV per atom

---

[2]
First-principles (GGA-PBE) data for a relaxed NbGaCl6 crystal, as listed in Alexandria via LeMat-Bulk. Values from VASP.

Geometry as Quantum ESPRESSO input:
```
&SYSTEM
  ibrav = 0, nat = 8, ntyp = 3
/
ATOMIC_SPECIES
Nb 92.91 Nb.upf
Cl 35.45 Cl.upf
Ga 69.72 Ga.upf
ATOMIC_POSITIONS crystal
Nb 0.000 0.000 0.000
Cl 0.376 0.795 0.775
Cl 0.204 0.946 0.225
Cl 0.947 0.624 0.225
Cl 0.796 0.054 0.775
Cl 0.053 0.376 0.775
Cl 0.624 0.205 0.225
Ga 0.500 0.500 0.500
CELL_PARAMETERS angstrom
-1.644 -4.161 -5.014
2.172 -6.359 0.052
-4.846 -5.198 1.391
```

---

Calculated total energy, -5.36, -4.12 eV per atom (same order as the records).
Calculated ΔE_f (raw), 0.01, -1.10 eV/atom (same order as the records).